[1]
This record from the Alexandria database describes ReMo2W at its PBEsol-relaxed geometry. The functional is SCAN.

Lattice parameters (Å, degrees): 3.118 4.406 4.427 90.00 90.00 90.00
Positions (direct):
W: 0.000 0.500 0.500
Mo: 0.000 0.000 0.000
Mo: 0.500 0.500 0.000
Re: 0.500 0.000 0.500

***

[2]
This record from the Alexandria database describes ReMo2W at its PBEsol-relaxed geometry. The functional is SCAN.

Lattice parameters (Å, degrees): 3.123 3.123 6.250 90.00 90.00 90.00
Positions (direct):
Mo: 0.500 0.500 0.243
Mo: 0.000 0.000 0.003
Re: 0.000 0.000 0.504
W: 0.500 0.500 0.749

***

[3]
This record from the Alexandria database describes ReMo2W at its PBEsol-relaxed geometry. The functional is SCAN.

Lattice parameters (Å, degrees): 3.118 4.409 5.184 115.17 107.50 90.00
Positions (direct):
W: 0.000 0.500 0.000
Re: 0.500 0.000 0.000
Mo: 0.747 0.747 0.493
Mo: 0.253 0.253 0.507

***

[4]
This record from the Alexandria database describes Y2ReMo at its PBEsol-relaxed geometry. The functional is SCAN.

Lattice parameters (Å, degrees): 2.946 2.946 9.438 90.00 90.00 109.20
Positions (direct):
Re: 0.500 0.500 0.000
Mo: 0.500 0.500 0.500
Y: 0.000 0.000 0.758
Y: 0.000 0.000 0.242

***

[5]
This record from the Alexandria database describes YReMo2 at its PBEsol-relaxed geometry. The functional is SCAN.

Lattice parameters (Å, degrees): 3.841 3.841 4.718 90.00 90.00 90.00
Positions (direct):
Mo: 0.500 0.000 0.000
Mo: 0.000 0.500 0.000
Re: 0.500 0.500 0.500
Y: 0.000 0.000 0.500

***

[6]
This record from the Alexandria database describes YReMo2 at its PBEsol-relaxed geometry. The functional is SCAN.

Lattice parameters (Å, degrees): 2.847 4.446 5.439 90.00 99.86 90.00
Positions (direct):
Mo: 0.992 0.000 0.018
Mo: 0.757 0.500 0.254
Y: 0.245 0.500 0.750
Re: 0.507 0.000 0.479

***

[7]
This record from the Alexandria database describes YReMo2 at its PBEsol-relaxed geometry. The functional is SCAN.

Lattice parameters (Å, degrees): 2.803 2.803 9.241 90.00 90.00 110.81
Positions (direct):
Mo: 0.000 0.000 0.975
Mo: 0.500 0.500 0.748
Y: 0.500 0.500 0.254
Re: 0.000 0.000 0.523

***

[8]
This record from the Alexandria database describes ZnRe3Mo at its PBEsol-relaxed geometry. The functional is SCAN.

Lattice parameters (Å, degrees): 4.632 4.632 4.632 90.00 90.00 90.00
Site moments in Bohr magnetons follow the coordinates.
Positions (direct):
Re: 0.000 0.500 0.000  0.54
Re: 0.500 0.000 0.000  0.54
Re: 0.000 0.000 0.500  0.54
Mo: 0.000 0.000 0.000  -0.07
Zn: 0.500 0.500 0.500  -0.07

***

For the records above, the corresponding calculated total energy values read -210.59; -210.53; -210.60; -159.32; -166.06; -167.31; -167.39; -250.03 eV for the cell shown.
For the records above, the corresponding energy of formation values read -0.01; 0.01; -0.01; 0.59; 0.66; 0.35; 0.33; 2.33 eV per atom.